Entry from OQMD: a geometry-optimized TmB4W structure (PBE).

```
TmB4W
1.0
-1.573 2.698 3.465
1.573 -2.698 3.465
1.573 2.698 -3.465
B Tm W
4 1 1
Direct
0.913 0.249 0.664
0.414 0.751 0.664
0.087 0.751 0.336
0.586 0.249 0.336
0.000 0.000 0.000
0.500 0.500 0.000
```

## Properties
SG: No. 71
Theoretical density (Mg/m³): 11.18
Offset from the most stable computed form (meV per atom): 20.8



Entry from OQMD: a geometry-optimized TmB3W structure (PBE).

```
TmB3W
1.0
-2.349 3.997 2.770
-2.593 -1.750 0.327
3.001 -3.522 4.948
B Tm W
6 2 2
Direct
0.588 0.250 0.506
0.586 0.250 0.024
0.414 0.750 0.976
0.917 0.250 0.508
0.083 0.750 0.492
0.412 0.750 0.494
0.824 0.750 0.792
0.176 0.250 0.208
0.690 0.750 0.279
0.310 0.250 0.721
```

## Properties
SG: No. 11
Total energy (eV per cell): -81.1
Theoretical density (Mg/m³): 11.35



Entry from OQMD: a geometry-optimized TmB4W structure (PBE).

```
TmB4W
1.0
-1.466 -0.143 -2.745
3.081 -0.438 0.145
-1.022 -6.896 0.906
B Tm W
4 1 1
Direct
0.333 0.667 0.770
0.667 0.333 0.230
0.333 0.667 0.230
0.667 0.333 0.770
0.000 0.000 0.500
0.000 0.000 0.000
```

## Properties
SG: No. 191
Theoretical density (Mg/m³): 11.13
Offset from the most stable computed form (meV per atom): 0.0